[1]
A relaxed PuHf2Rh crystal, computed with GGA-PBE.

Output
Relative energy among the computed polymorphs = 22.3 kJ/mol of atoms
Final energy = -42.13 eV per cell
Total moment = 5.06 μB per cell

a b c (Å): 9.5738 9.5738 9.5738
angles (deg): 19.19 19.19 19.19
Sites, in units of the cell vectors:
Pu: 0.0000 0.0000 0.0000
Hf: 0.5731 0.5731 0.5731
Hf: 0.7607 0.7607 0.7607
Rh: 0.1670 0.1670 0.1670

---

[2]
A relaxed PuHfTiRh crystal, computed with GGA-PBE.

Output
Final energy = -39.81 eV per cell
Total moment = 6.27 μB per cell

a b c (Å): 4.7118 4.7118 4.7118
angles (deg): 60.00 60.00 60.00
Sites, in units of the cell vectors:
Pu: 0.0000 0.0000 0.0000
Hf: 0.2500 0.2500 0.2500
Ti: 0.7500 0.7500 0.7500
Rh: 0.5000 0.5000 0.5000

---

[3]
A relaxed PuHf2Ru crystal, computed with GGA-PBE.

Output
Relative energy among the computed polymorphs = 23.6 kJ/mol of atoms
Final energy = -43.70 eV per cell
Total moment = 5.46 μB per cell

a b c (Å): 4.9001 4.9001 3.2291
angles (deg): 90.00 90.00 90.00
Sites, in units of the cell vectors:
Pu: 0.0000 0.0000 0.0000
Hf: 0.0000 0.5000 0.5000
Hf: 0.5000 0.0000 0.5000
Ru: 0.5000 0.5000 0.0000